# AgRhW | Alexandria via LeMat-Bulk | PBE | relaxed
# * space-group type: F-43m
# * calculated total energy: -6.9041 eV per atom
# * density of states at the Fermi level: 5.40 states/eV per cell
# * energy above the lowest structure with this stoichiometry: 643 meV per atom
data_AgRhW
_space_group_name_H-M_alt 'P 1'
_space_group_IT_number 1
_cell_length_a 4.282
_cell_length_b 4.282
_cell_length_c 4.282
_cell_angle_alpha 60.00
_cell_angle_beta 60.00
_cell_angle_gamma 60.00
loop_
_space_group_symop_operation_xyz
'x,y,z'
loop_
_atom_site_label
_atom_site_fract_x
_atom_site_fract_y
_atom_site_fract_z
Ag1 0.000 0.000 0.000
Rh1 0.250 0.250 0.250
W1 0.500 0.500 0.500


# Ag2RhW | Alexandria via LeMat-Bulk | PBE | relaxed
# * space-group type: Imm2
# * calculated total energy: -6.0062 eV per atom
# * density of states at the Fermi level: 2.72 states/eV per cell
# * energy above the lowest structure with this stoichiometry: 347 meV per atom
data_Ag2RhW
_space_group_name_H-M_alt 'P 1'
_space_group_IT_number 1
_cell_length_a 5.531
_cell_length_b 5.531
_cell_length_c 5.531
_cell_angle_alpha 149.99
_cell_angle_beta 127.46
_cell_angle_gamma 61.70
loop_
_space_group_symop_operation_xyz
'x,y,z'
loop_
_atom_site_label
_atom_site_fract_x
_atom_site_fract_y
_atom_site_fract_z
Ag1 0.000 0.000 0.000
Ag2 0.739 0.239 0.500
Rh1 0.482 0.482 0.000
W1 0.263 0.763 0.500


# Ag2RhW | Alexandria via LeMat-Bulk | PBE | relaxed
# * space-group type: P4mm
# * calculated total energy: -6.3132 eV per atom
# * density of states at the Fermi level: 3.30 states/eV per cell
# * energy above the lowest structure with this stoichiometry: 40 meV per atom
data_Ag2RhW
_space_group_name_H-M_alt 'P 1'
_space_group_IT_number 1
_cell_length_a 2.848
_cell_length_b 2.848
_cell_length_c 8.121
_cell_angle_alpha 90.00
_cell_angle_beta 90.00
_cell_angle_gamma 90.00
loop_
_space_group_symop_operation_xyz
'x,y,z'
loop_
_atom_site_label
_atom_site_fract_x
_atom_site_fract_y
_atom_site_fract_z
Ag1 0.000 0.000 0.000
Ag2 0.500 0.500 0.264
Rh1 0.000 0.000 0.524
W1 0.500 0.500 0.733


# AgRhW2 | Alexandria via LeMat-Bulk | PBE | relaxed
# * space-group type: P2/m
# * calculated total energy: -8.6342 eV per atom
# * density of states at the Fermi level: 3.69 states/eV per cell
# * energy above the lowest structure with this stoichiometry: 180 meV per atom
data_AgRhW2
_space_group_name_H-M_alt 'P 1'
_space_group_IT_number 1
_cell_length_a 4.726
_cell_length_b 2.873
_cell_length_c 4.907
_cell_angle_alpha 90.00
_cell_angle_beta 107.89
_cell_angle_gamma 90.00
loop_
_space_group_symop_operation_xyz
'x,y,z'
loop_
_atom_site_label
_atom_site_fract_x
_atom_site_fract_y
_atom_site_fract_z
Ag1 0.000 0.000 0.000
Rh1 0.500 0.500 0.000
W1 0.000 0.500 0.500
W2 0.500 0.000 0.500


# AgRhW2 | Alexandria via LeMat-Bulk | PBE | relaxed
# * space-group type: I-42d
# * calculated total energy: -8.1129 eV per atom
# * density of states at the Fermi level: 3.95 states/eV per cell
# * energy above the lowest structure with this stoichiometry: 701 meV per atom
data_AgRhW2
_space_group_name_H-M_alt 'P 1'
_space_group_IT_number 1
_cell_length_a 5.792
_cell_length_b 5.792
_cell_length_c 5.792
_cell_angle_alpha 101.97
_cell_angle_beta 101.97
_cell_angle_gamma 125.82
loop_
_space_group_symop_operation_xyz
'x,y,z'
loop_
_atom_site_label
_atom_site_fract_x
_atom_site_fract_y
_atom_site_fract_z
Ag1 0.000 0.000 0.000
Ag2 0.750 0.250 0.500
Rh1 0.250 0.750 0.500
Rh2 0.500 0.500 0.000
W1 0.161 0.125 0.536
W2 0.375 0.839 0.964
W3 0.589 0.625 0.464
W4 0.875 0.411 0.036


# AgRhW | Alexandria via LeMat-Bulk | PBE | relaxed
# * space-group type: Fmm2
# * calculated total energy: -7.4192 eV per atom
# * density of states at the Fermi level: 2.14 states/eV per cell
# * energy above the lowest structure with this stoichiometry: 128 meV per atom
data_AgRhW
_space_group_name_H-M_alt 'P 1'
_space_group_IT_number 1
_cell_length_a 7.516
_cell_length_b 7.308
_cell_length_c 2.732
_cell_angle_alpha 83.70
_cell_angle_beta 75.12
_cell_angle_gamma 21.18
loop_
_space_group_symop_operation_xyz
'x,y,z'
loop_
_atom_site_label
_atom_site_fract_x
_atom_site_fract_y
_atom_site_fract_z
Ag1 0.000 0.000 0.000
Rh1 0.674 0.674 0.326
W1 0.324 0.324 0.676


# Ag2RhW | Alexandria via LeMat-Bulk | PBE | relaxed
# * space-group type: Cm
# * calculated total energy: -6.1287 eV per atom
# * density of states at the Fermi level: 3.84 states/eV per cell
# * energy above the lowest structure with this stoichiometry: 225 meV per atom
data_Ag2RhW
_space_group_name_H-M_alt 'P 1'
_space_group_IT_number 1
_cell_length_a 4.779
_cell_length_b 4.779
_cell_length_c 5.169
_cell_angle_alpha 97.73
_cell_angle_beta 97.73
_cell_angle_gamma 33.86
loop_
_space_group_symop_operation_xyz
'x,y,z'
loop_
_atom_site_label
_atom_site_fract_x
_atom_site_fract_y
_atom_site_fract_z
Ag1 0.000 0.000 0.000
Ag2 0.248 0.248 0.777
Rh1 0.499 0.499 0.477
W1 0.753 0.753 0.294


# AgRh2W | Alexandria via LeMat-Bulk | PBE | relaxed
# * space-group type: R-3m
# * calculated total energy: -7.6551 eV per atom
# * density of states at the Fermi level: 2.15 states/eV per cell
# * energy above the lowest structure with this stoichiometry: 10 meV per atom
data_AgRh2W
_space_group_name_H-M_alt 'P 1'
_space_group_IT_number 1
_cell_length_a 9.236
_cell_length_b 9.236
_cell_length_c 9.236
_cell_angle_alpha 17.54
_cell_angle_beta 17.54
_cell_angle_gamma 17.54
loop_
_space_group_symop_operation_xyz
'x,y,z'
loop_
_atom_site_label
_atom_site_fract_x
_atom_site_fract_y
_atom_site_fract_z
Ag1 0.000 0.000 0.000
Rh1 0.244 0.244 0.244
Rh2 0.756 0.756 0.756
W1 0.500 0.500 0.500


# Ag2RhW | Alexandria via LeMat-Bulk | PBE | relaxed
# * space-group type: R3m
# * calculated total energy: -6.3535 eV per atom
# * density of states at the Fermi level: 2.42 states/eV per cell
# * energy above the lowest structure with this stoichiometry: 0 meV per atom
data_Ag2RhW
_space_group_name_H-M_alt 'P 1'
_space_group_IT_number 1
_cell_length_a 9.624
_cell_length_b 9.624
_cell_length_c 9.624
_cell_angle_alpha 16.90
_cell_angle_beta 16.90
_cell_angle_gamma 16.90
loop_
_space_group_symop_operation_xyz
'x,y,z'
loop_
_atom_site_label
_atom_site_fract_x
_atom_site_fract_y
_atom_site_fract_z
Ag1 0.000 0.000 0.000
Ag2 0.246 0.246 0.246
Rh1 0.494 0.494 0.494
W1 0.754 0.754 0.754


# Ag2RhW | Alexandria via LeMat-Bulk | PBE | relaxed
# * space-group type: R-3m
# * calculated total energy: -6.0603 eV per atom
# * density of states at the Fermi level: 3.96 states/eV per cell
# * energy above the lowest structure with this stoichiometry: 293 meV per atom
data_Ag2RhW
_space_group_name_H-M_alt 'P 1'
_space_group_IT_number 1
_cell_length_a 9.748
_cell_length_b 9.748
_cell_length_c 9.748
_cell_angle_alpha 16.49
_cell_angle_beta 16.49
_cell_angle_gamma 16.49
loop_
_space_group_symop_operation_xyz
'x,y,z'
loop_
_atom_site_label
_atom_site_fract_x
_atom_site_fract_y
_atom_site_fract_z
Ag1 0.249 0.249 0.249
Ag2 0.751 0.751 0.751
Rh1 0.500 0.500 0.500
W1 0.000 0.000 0.000


# AgRh2W | Alexandria via LeMat-Bulk | PBE | relaxed
# * space-group type: Fm-3m
# * calculated total energy: -7.4366 eV per atom
# * density of states at the Fermi level: 4.85 states/eV per cell
# * energy above the lowest structure with this stoichiometry: 228 meV per atom
data_AgRh2W
_space_group_name_H-M_alt 'P 1'
_space_group_IT_number 1
_cell_length_a 4.432
_cell_length_b 4.432
_cell_length_c 4.432
_cell_angle_alpha 60.00
_cell_angle_beta 60.00
_cell_angle_gamma 60.00
loop_
_space_group_symop_operation_xyz
'x,y,z'
loop_
_atom_site_label
_atom_site_fract_x
_atom_site_fract_y
_atom_site_fract_z
Ag1 0.000 0.000 0.000
Rh1 0.250 0.250 0.250
Rh2 0.750 0.750 0.750
W1 0.500 0.500 0.500


# Ag2RhW | Alexandria via LeMat-Bulk | PBE | relaxed
# * space-group type: P4/mmm
# * calculated total energy: -5.9899 eV per atom
# * density of states at the Fermi level: 3.36 states/eV per cell
# * energy above the lowest structure with this stoichiometry: 364 meV per atom
data_Ag2RhW
_space_group_name_H-M_alt 'P 1'
_space_group_IT_number 1
_cell_length_a 2.729
_cell_length_b 2.729
_cell_length_c 8.687
_cell_angle_alpha 90.00
_cell_angle_beta 90.00
_cell_angle_gamma 90.00
loop_
_space_group_symop_operation_xyz
'x,y,z'
loop_
_atom_site_label
_atom_site_fract_x
_atom_site_fract_y
_atom_site_fract_z
Ag1 0.000 0.000 0.244
Ag2 0.000 0.000 0.756
Rh1 0.500 0.500 0.000
W1 0.500 0.500 0.500


# AgRh2W | Alexandria via LeMat-Bulk | PBE | relaxed
# * space-group type: P4/mmm
# * calculated total energy: -7.3831 eV per atom
# * density of states at the Fermi level: 4.02 states/eV per cell
# * energy above the lowest structure with this stoichiometry: 282 meV per atom
data_AgRh2W
_space_group_name_H-M_alt 'P 1'
_space_group_IT_number 1
_cell_length_a 4.064
_cell_length_b 4.064
_cell_length_c 3.696
_cell_angle_alpha 90.00
_cell_angle_beta 90.00
_cell_angle_gamma 90.00
loop_
_space_group_symop_operation_xyz
'x,y,z'
loop_
_atom_site_label
_atom_site_fract_x
_atom_site_fract_y
_atom_site_fract_z
Ag1 0.000 0.000 0.000
Rh1 0.000 0.500 0.500
Rh2 0.500 0.000 0.500
W1 0.500 0.500 0.000


# Ag2RhW | Alexandria via LeMat-Bulk | PBE | relaxed
# * space-group type: P4/mmm
# * calculated total energy: -5.6992 eV per atom
# * density of states at the Fermi level: 5.28 states/eV per cell
# * energy above the lowest structure with this stoichiometry: 654 meV per atom
data_Ag2RhW
_space_group_name_H-M_alt 'P 1'
_space_group_IT_number 1
_cell_length_a 4.867
_cell_length_b 4.867
_cell_length_c 2.780
_cell_angle_alpha 90.00
_cell_angle_beta 90.00
_cell_angle_gamma 90.00
loop_
_space_group_symop_operation_xyz
'x,y,z'
loop_
_atom_site_label
_atom_site_fract_x
_atom_site_fract_y
_atom_site_fract_z
Ag1 0.000 0.500 0.000
Ag2 0.500 0.000 0.000
Rh1 0.000 0.000 0.500
W1 0.500 0.500 0.500


# AgRh2W | Alexandria via LeMat-Bulk | PBE | relaxed
# * space-group type: I-42d
# * calculated total energy: -7.1526 eV per atom
# * density of states at the Fermi level: 3.65 states/eV per cell
# * energy above the lowest structure with this stoichiometry: 512 meV per atom
data_AgRh2W
_space_group_name_H-M_alt 'P 1'
_space_group_IT_number 1
_cell_length_a 5.717
_cell_length_b 5.717
_cell_length_c 5.717
_cell_angle_alpha 103.80
_cell_angle_beta 103.80
_cell_angle_gamma 121.53
loop_
_space_group_symop_operation_xyz
'x,y,z'
loop_
_atom_site_label
_atom_site_fract_x
_atom_site_fract_y
_atom_site_fract_z
Ag1 0.000 0.000 0.000
Ag2 0.750 0.250 0.500
Rh1 0.162 0.125 0.537
Rh2 0.375 0.838 0.963
Rh3 0.588 0.625 0.463
Rh4 0.875 0.412 0.037
W1 0.250 0.750 0.500
W2 0.500 0.500 0.000


# Ag2RhW | Alexandria via LeMat-Bulk | PBE | relaxed
# * space-group type: I-4m2
# * calculated total energy: -5.9937 eV per atom
# * density of states at the Fermi level: 3.76 states/eV per cell
# * energy above the lowest structure with this stoichiometry: 360 meV per atom
data_Ag2RhW
_space_group_name_H-M_alt 'P 1'
_space_group_IT_number 1
_cell_length_a 4.837
_cell_length_b 4.837
_cell_length_c 4.837
_cell_angle_alpha 130.47
_cell_angle_beta 130.47
_cell_angle_gamma 72.66
loop_
_space_group_symop_operation_xyz
'x,y,z'
loop_
_atom_site_label
_atom_site_fract_x
_atom_site_fract_y
_atom_site_fract_z
Ag1 0.000 0.000 0.000
Ag2 0.750 0.250 0.500
Rh1 0.250 0.750 0.500
W1 0.500 0.500 0.000


# Ag2RhW | Alexandria via LeMat-Bulk | PBE | relaxed
# * space-group type: Cmmm
# * calculated total energy: -6.0112 eV per atom
# * density of states at the Fermi level: 4.03 states/eV per cell
# * energy above the lowest structure with this stoichiometry: 342 meV per atom
data_Ag2RhW
_space_group_name_H-M_alt 'P 1'
_space_group_IT_number 1
_cell_length_a 2.729
_cell_length_b 2.729
_cell_length_c 9.762
_cell_angle_alpha 90.00
_cell_angle_beta 90.00
_cell_angle_gamma 115.09
loop_
_space_group_symop_operation_xyz
'x,y,z'
loop_
_atom_site_label
_atom_site_fract_x
_atom_site_fract_y
_atom_site_fract_z
Ag1 0.000 0.000 0.245
Ag2 0.000 0.000 0.755
Rh1 0.500 0.500 0.000
W1 0.500 0.500 0.500


# Ag2RhW | Alexandria via LeMat-Bulk | PBE | relaxed
# * space-group type: I4/mmm
# * calculated total energy: -5.9458 eV per atom
# * density of states at the Fermi level: 4.43 states/eV per cell
# * energy above the lowest structure with this stoichiometry: 408 meV per atom
data_Ag2RhW
_space_group_name_H-M_alt 'P 1'
_space_group_IT_number 1
_cell_length_a 5.196
_cell_length_b 5.196
_cell_length_c 5.196
_cell_angle_alpha 136.91
_cell_angle_beta 136.91
_cell_angle_gamma 62.57
loop_
_space_group_symop_operation_xyz
'x,y,z'
loop_
_atom_site_label
_atom_site_fract_x
_atom_site_fract_y
_atom_site_fract_z
Ag1 0.250 0.750 0.500
Ag2 0.750 0.250 0.500
Rh1 0.000 0.000 0.000
W1 0.500 0.500 0.000


# AgRhW | Alexandria via LeMat-Bulk | PBE | relaxed
# * space-group type: Imm2
# * calculated total energy: -7.4664 eV per atom
# * density of states at the Fermi level: 1.74 states/eV per cell
# * energy above the lowest structure with this stoichiometry: 81 meV per atom
data_AgRhW
_space_group_name_H-M_alt 'P 1'
_space_group_IT_number 1
_cell_length_a 4.868
_cell_length_b 4.868
_cell_length_c 4.868
_cell_angle_alpha 146.50
_cell_angle_beta 132.12
_cell_angle_gamma 59.70
loop_
_space_group_symop_operation_xyz
'x,y,z'
loop_
_atom_site_label
_atom_site_fract_x
_atom_site_fract_y
_atom_site_fract_z
Ag1 0.000 0.000 0.000
Rh1 0.326 0.326 0.000
W1 0.675 0.675 0.000


# Ag2RhW | Alexandria via LeMat-Bulk | PBE | relaxed
# * space-group type: Pmm2
# * calculated total energy: -6.2068 eV per atom
# * density of states at the Fermi level: 3.47 states/eV per cell
# * energy above the lowest structure with this stoichiometry: 147 meV per atom
data_Ag2RhW
_space_group_name_H-M_alt 'P 1'
_space_group_IT_number 1
_cell_length_a 2.800
_cell_length_b 3.971
_cell_length_c 5.881
_cell_angle_alpha 90.00
_cell_angle_beta 90.00
_cell_angle_gamma 90.00
loop_
_space_group_symop_operation_xyz
'x,y,z'
loop_
_atom_site_label
_atom_site_fract_x
_atom_site_fract_y
_atom_site_fract_z
Ag1 0.000 0.000 0.000
Ag2 0.500 0.500 0.244
Rh1 0.000 0.000 0.527
W1 0.500 0.500 0.718